TbAlCdAu: optimized geometry, GGA-PBE.

Calculated values
Crystal system   cubic
Space-group type   F-43m (216)

a = 4.909 Å, b = 4.909 Å, c = 4.909 Å
α = 60.00°, β = 60.00°, γ = 60.00°
Atoms (fractional coordinates):
Cd  0.750  0.750  0.750
Au  0.250  0.250  0.250
Al  0.000  0.000  0.000
Tb  0.500  0.500  0.500


Tb2AlCdAu4: optimized geometry, GGA-PBE.

Calculated values
Crystal system   trigonal
Space-group type   R-3m (166)

a = 4.929 Å, b = 4.929 Å, c = 8.375 Å
α = 72.89°, β = 72.89°, γ = 60.00°
Atoms (fractional coordinates):
Tb  0.252  0.252  0.243
Tb  0.748  0.748  0.757
Au  0.616  0.616  0.153
Au  0.128  0.128  0.615
Au  0.384  0.384  0.847
Au  0.872  0.872  0.385
Al  0.500  0.500  0.500
Cd  0.000  0.000  0.000


Th2Al3CdAu4: optimized geometry, GGA-PBE.

Calculated values
Crystal system   tetragonal
Space-group type   P-4m2 (115)

a = 4.442 Å, b = 4.442 Å, c = 10.753 Å
α = 90.00°, β = 90.00°, γ = 90.00°
Atoms (fractional coordinates):
Au  0.000  0.500  0.354
Au  0.500  0.000  0.646
Au  0.500  0.500  0.000
Au  0.000  0.000  0.000
Cd  0.500  0.500  0.500
Th  0.000  0.500  0.759
Th  0.500  0.000  0.241
Al  0.500  0.000  0.875
Al  0.000  0.000  0.500
Al  0.000  0.500  0.125


TmAlCdAu: optimized geometry, GGA-PBE.

Calculated values
Crystal system   cubic
Space-group type   F-43m (216)

a = 4.855 Å, b = 4.855 Å, c = 4.855 Å
α = 60.00°, β = 60.00°, γ = 60.00°
Atoms (fractional coordinates):
Al  0.750  0.750  0.750
Cd  0.000  0.000  0.000
Au  0.500  0.500  0.500
Tm  0.250  0.250  0.250


Tm2Al4CdAu3: optimized geometry, GGA-PBE.

Calculated values
Crystal system   tetragonal
Space-group type   P-4m2 (115)

a = 4.231 Å, b = 4.231 Å, c = 11.123 Å
α = 90.00°, β = 90.00°, γ = 90.00°
Atoms (fractional coordinates):
Au  0.000  0.500  0.134
Au  0.500  0.000  0.866
Au  0.000  0.000  0.500
Al  0.500  0.500  0.000
Al  0.000  0.000  0.000
Al  0.000  0.500  0.355
Al  0.500  0.000  0.645
Tm  0.500  0.000  0.245
Tm  0.000  0.500  0.755
Cd  0.500  0.500  0.500


AlVCdAu2: optimized geometry, GGA-PBE.

Calculated values
Crystal system   tetragonal
Space-group type   P4/mmm (123)

a = 5.002 Å, b = 5.261 Å, c = 5.002 Å
α = 90.00°, β = 90.00°, γ = 90.00°
Atoms (fractional coordinates):
Al  0.500  0.500  0.500
Au  0.000  0.000  0.500
Au  0.500  0.000  0.000
Cd  0.000  0.500  0.000
V  0.000  0.000  0.000


YAlCdAu: optimized geometry, GGA-PBE.

Calculated values
Crystal system   cubic
Space-group type   F-43m (216)

a = 4.903 Å, b = 4.903 Å, c = 4.903 Å
α = 60.00°, β = 60.00°, γ = 60.00°
Atoms (fractional coordinates):
Au  0.500  0.500  0.500
Al  0.250  0.250  0.250
Cd  0.000  0.000  0.000
Y  0.750  0.750  0.750


YAl2CdAu4: optimized geometry, GGA-PBE.

Calculated values
Crystal system   trigonal
Space-group type   R-3m (166)

a = 4.413 Å, b = 4.413 Å, c = 9.836 Å
α = 77.04°, β = 77.04°, γ = 60.00°
Atoms (fractional coordinates):
Au  0.392  0.392  0.823
Au  0.884  0.884  0.348
Au  0.116  0.116  0.652
Au  0.608  0.608  0.177
Al  0.751  0.751  0.747
Al  0.249  0.249  0.253
Y  0.000  0.000  0.000
Cd  0.500  0.500  0.500


Number 1: formation energy -0.457 eV per atom. Number 2: formation energy -0.696 eV per atom. Number 3: formation energy -0.590 eV per atom. Number 4: formation energy -0.441 eV per atom. Number 5: formation energy -0.566 eV per atom. Number 6: formation energy 0.829 eV per atom. Number 7: formation energy -0.456 eV per atom. Number 8: formation energy -0.482 eV per atom.